# PBE AlIrNO, relaxed
# energy = -7.303 eV/atom
data_AlIrNO
_chemical_formula_sum 'Al2 Ir2 N2 O2'
_cell_length_a 2.959
_cell_length_b 6.421
_cell_length_c 4.898
_cell_angle_alpha 90.00
_cell_angle_beta 90.00
_cell_angle_gamma 90.00
_space_group_name_H-M_alt 'P m c 21'
_space_group_IT_number 26
_space_group_name_Hall 'P 2c -2'
loop_
_atom_site_label
_atom_site_type_symbol
_atom_site_fract_x
_atom_site_fract_y
_atom_site_fract_z
Al1 Al 0.000 0.142 0.000
Ir1 Ir 0.500 0.420 0.508
N1 N 0.500 0.288 0.878
O1 O 0.000 0.110 0.356